Compound: TcIr3W
Source: Alexandria
Functional: meta-GGA SCAN
Structure: PBEsol geometry

Cell lengths 4.662, 4.662, 4.662 Å; angles 90.00, 90.00, 90.00 degrees
Site moments in Bohr magnetons follow the coordinates.
Atoms (fractional coordinates):
Ir  0.000  0.500  0.000  0.14
Ir  0.000  0.000  0.500  0.14
Ir  0.500  0.000  0.000  0.14
Tc  0.500  0.500  0.500  3.81
W  0.000  0.000  0.000  -0.02

Values from the calculation:
**Magnetization**: 4.39 μB per formula unit
**Formation enthalpy at 0 K**: 1.9640 eV per atom
**Symmetry**: No. 221
**Crystal system**: cubic
**E_tot**: -61.645 eV per atom